Here is CsBi5 after structural relaxation from Alexandria. Energies are from PBE-GGA.

```
CsBi5
1.0
3.127 -8.436 0.000
3.127 8.436 0.000
0.000 0.000 4.284
Cs Bi
1 5
direct
0.000 0.000 0.000
0.212 0.788 0.500
0.352 0.648 0.000
0.500 0.500 0.500
0.648 0.352 0.000
0.788 0.212 0.500
```

Magnetization: 0.0 μB/f.u.
Formation energy from the elements: 0.021 eV per atom
Electronic total energy: -3.355 eV per atom
Space group: Cmmm



Here is CsBi after structural relaxation from Alexandria. Energies are from PBE-GGA.

```
CsBi
1.0
5.966 0.000 0.000
0.000 13.802 0.000
0.000 0.000 7.239
Cs Bi
6 6
direct
0.250 0.083 0.083
0.250 0.250 0.616
0.250 0.417 0.083
0.750 0.583 0.917
0.750 0.750 0.384
0.750 0.917 0.917
0.250 0.562 0.519
0.250 0.750 0.756
0.250 0.938 0.519
0.750 0.062 0.481
0.750 0.250 0.244
0.750 0.438 0.481
```

Magnetization: 0.0 μB/f.u.
Formation energy from the elements: -0.317 eV per atom
Electronic total energy: -2.684 eV per atom
Space group: Pmmn



Here is Cs3Bi after structural relaxation from Alexandria. Energies are from PBE-GGA.

```
Cs3Bi
1.0
-3.352 4.758 3.350
3.352 -4.758 3.350
3.352 4.758 -3.350
Cs Bi
3 1
direct
0.000 0.000 0.000
0.249 0.499 0.750
0.749 0.499 0.250
0.498 0.998 0.500
```

Magnetization: 0.0 μB/f.u.
Formation energy from the elements: -0.317 eV per atom
Electronic total energy: -1.927 eV per atom
Space group: Imm2



Here is CsBi3 after structural relaxation from Alexandria. Energies are from PBE-GGA.

```
CsBi3
1.0
5.184 0.000 0.000
0.000 5.195 0.000
0.000 0.000 6.778
Cs Bi
1 3
direct
0.000 0.000 0.000
0.000 0.500 0.488
0.500 0.000 0.488
0.500 0.500 0.746
```

Magnetization: 0.0 μB/f.u.
Formation energy from the elements: -0.135 eV per atom
Electronic total energy: -3.259 eV per atom
Space group: Pmm2



Here is CsBi after structural relaxation from Alexandria. Energies are from PBE-GGA.

```
CsBi
1.0
6.173 0.000 0.000
0.000 4.947 0.000
-3.070 0.000 6.976
Cs Bi
2 2
direct
0.134 0.250 0.270
0.866 0.750 0.730
0.435 0.250 0.868
0.565 0.750 0.132
```

Magnetization: 0.0 μB/f.u.
Formation energy from the elements: -0.386 eV per atom
Electronic total energy: -2.753 eV per atom
Space group: P2_1/m



Here is CsBi after structural relaxation from Alexandria. Energies are from PBE-GGA.

```
CsBi
1.0
7.465 0.000 0.000
0.000 14.794 0.000
0.000 0.000 7.245
Cs Bi
8 8
direct
0.121 0.166 0.250
0.121 0.334 0.750
0.335 0.007 0.750
0.335 0.493 0.250
0.665 0.507 0.750
0.665 0.993 0.250
0.879 0.666 0.250
0.879 0.834 0.750
0.162 0.611 0.750
0.162 0.889 0.250
0.368 0.750 0.000
0.368 0.750 0.500
0.632 0.250 0.000
0.632 0.250 0.500
0.838 0.111 0.750
0.838 0.389 0.250
```

Magnetization: 0.0 μB/f.u.
Formation energy from the elements: -0.343 eV per atom
Electronic total energy: -2.710 eV per atom
Space group: Pbcm



Here is CsBi6 after structural relaxation from Alexandria. Energies are from PBE-GGA.

```
CsBi6
1.0
-4.469 4.469 4.469
4.469 -4.469 4.469
4.469 4.469 -4.469
Cs Bi
1 6
direct
0.000 0.000 0.000
0.250 0.500 0.750
0.250 0.750 0.500
0.500 0.250 0.750
0.500 0.750 0.250
0.750 0.250 0.500
0.750 0.500 0.250
```

Magnetization: 0.0 μB/f.u.
Formation energy from the elements: 0.000 eV per atom
Electronic total energy: -3.448 eV per atom
Space group: Im-3m



Here is CsBi after structural relaxation from Alexandria. Energies are from PBE-GGA.

```
CsBi
1.0
13.980 0.000 0.000
-6.990 12.107 0.000
0.000 0.000 5.271
Cs Bi
6 6
direct
0.218 0.435 0.250
0.218 0.782 0.250
0.435 0.218 0.750
0.565 0.782 0.250
0.782 0.218 0.750
0.782 0.565 0.750
0.065 0.532 0.750
0.468 0.532 0.750
0.468 0.935 0.750
0.532 0.065 0.250
0.532 0.468 0.250
0.935 0.468 0.250
```

Magnetization: 0.0 μB/f.u.
Formation energy from the elements: -0.284 eV per atom
Electronic total energy: -2.651 eV per atom
Space group: P6_3/mmc